<w>
Density functional theory data (PBE-GGA) for an optimized crystal structure of YHfAsBr2.

Structure (extended XYZ):
```
5
Lattice="-1.562 5.073 -0.071 -2.261 -0.629 4.761 4.949 1.560 2.557" Properties=species:S:1:pos:R:3 pbc="T T T"
Y 0.000 0.000 0.000
As 2.475 0.780 1.278
Hf 0.563 3.002 3.623
Br -1.131 -0.315 2.381
Br -0.781 2.537 -0.036
```

<x>
Density functional theory data (PBE-GGA) for an optimized crystal structure of YHfAsBr2.

Structure (extended XYZ):
```
5
Lattice="5.117 0.000 0.000 0.000 5.117 0.000 0.000 0.000 5.338" Properties=species:S:1:pos:R:3 pbc="T T T"
Y 2.559 2.559 2.669
As 0.000 0.000 2.669
Hf 0.000 0.000 0.000
Br 0.000 2.559 0.000
Br 2.559 0.000 0.000
```

Energy ordering: <x> at the bottom, the next structure 385 meV/atom above.

<w>
Density functional theory data (PBE-GGA) for an optimized crystal structure of HfZnAsBr2.

Structure (extended XYZ):
```
5
Lattice="-1.181 0.285 4.692 -0.974 -4.747 0.043 4.980 -1.010 1.315" Properties=species:S:1:pos:R:3 pbc="T T T"
As 2.490 -0.505 0.657
Hf 1.412 -2.736 3.025
Zn 0.000 0.000 0.000
Br -0.487 -2.374 0.021
Br -0.590 0.142 2.346
```

<x>
Density functional theory data (PBE-GGA) for an optimized crystal structure of HfZnAsBr2.

Structure (extended XYZ):
```
5
Lattice="-2.761 -4.350 -1.085 4.436 -2.834 0.073 -0.648 -0.882 5.185" Properties=species:S:1:pos:R:3 pbc="T T T"
As -0.324 -0.441 2.592
Hf 0.000 0.000 0.000
Zn 0.513 -4.033 2.086
Br 2.218 -1.417 0.036
Br -1.381 -2.175 -0.543
```

Energy ordering: <x> at the bottom, the next structure 679 meV/atom above.

<w>
Density functional theory data (PBE-GGA) for an optimized crystal structure of HfZnAs2Br.

Structure (extended XYZ):
```
5
Lattice="-4.094 0.186 -3.200 -2.409 -3.603 2.873 -2.145 3.799 2.966" Properties=species:S:1:pos:R:3 pbc="T T T"
As -1.204 -1.801 1.436
As -2.047 0.093 -1.600
Hf 0.000 0.000 0.000
Zn -4.324 0.191 1.319
Br -1.073 1.900 1.483
```

<x>
Density functional theory data (PBE-GGA) for an optimized crystal structure of HfZnAs2Br.

Structure (extended XYZ):
```
5
Lattice="5.230 0.000 0.000 0.000 4.870 0.000 0.000 0.000 5.230" Properties=species:S:1:pos:R:3 pbc="T T T"
As 0.000 0.000 2.615
As 2.615 0.000 0.000
Hf 0.000 2.435 0.000
Zn 2.615 2.435 2.615
Br 0.000 0.000 0.000
```

Energy ordering: <w> at the bottom, the next structure 1060 meV/atom above.

<w>
Density functional theory data (PBE-GGA) for an optimized crystal structure of HfZrAs2Br.

Structure (extended XYZ):
```
5
Lattice="-4.426 2.722 -0.319 -2.715 -4.271 1.219 0.364 1.165 4.892" Properties=species:S:1:pos:R:3 pbc="T T T"
As -1.357 -2.136 0.609
As -2.213 1.361 -0.159
Hf -3.388 -0.192 2.896
Br 0.182 0.582 2.446
Zr 0.000 0.000 0.000
```

<x>
Density functional theory data (PBE-GGA) for an optimized crystal structure of HfZrAs2Br.

Structure (extended XYZ):
```
5
Lattice="5.144 0.000 0.000 0.000 5.144 0.000 0.000 0.000 5.055" Properties=species:S:1:pos:R:3 pbc="T T T"
As 0.000 2.572 0.000
As 2.572 0.000 0.000
Hf 0.000 0.000 0.000
Br 0.000 0.000 2.528
Zr 2.572 2.572 2.528
```

Energy ordering: <x> at the bottom, the next structure 180 meV/atom above.

<w>
Density functional theory data (PBE-GGA) for an optimized crystal structure of Hg2AsBr.

Structure (extended XYZ):
```
4
Lattice="-4.587 1.912 2.030 -2.722 -2.188 -4.079 -0.393 -2.838 1.785" Properties=species:S:1:pos:R:3 pbc="T T T"
As -2.490 -0.463 1.908
Hg 0.000 0.000 0.000
Hg -3.654 -0.138 -1.024
Br -1.557 -2.513 -1.147
```

<x>
Density functional theory data (PBE-GGA) for an optimized crystal structure of Hg2AsBr.

Structure (extended XYZ):
```
4
Lattice="-4.197 -0.081 -1.784 2.066 -1.843 -4.778 0.515 -5.404 -0.967" Properties=species:S:1:pos:R:3 pbc="T T T"
As -1.453 -1.852 -2.328
Hg 0.191 -0.539 -0.424
Hg 1.100 -3.084 -2.449
Br -0.163 -5.475 -5.201
```

Energy ordering: <x> at the bottom, the next structure 203 meV/atom above.

<w>
Density functional theory data (PBE-GGA) for an optimized crystal structure of Hg4As2Br3.

Structure (extended XYZ):
```
18
Lattice="8.012 0.669 0.479 0.958 8.238 -1.708 0.958 1.037 8.349" Properties=species:S:1:pos:R:3 pbc="T T T"
Hg 4.714 8.201 0.906
Hg 1.208 6.110 -0.592
Hg 5.214 1.743 6.214
Hg 8.720 3.834 7.711
Hg 1.163 2.844 2.294
Hg 4.759 6.522 4.927
Hg 8.765 7.100 4.826
Hg 5.169 3.423 2.193
As 3.322 2.245 3.634
As 2.600 5.446 5.926
As 6.606 7.699 3.485
As 7.329 4.498 1.193
Br 8.355 8.973 0.992
Br 5.580 6.448 -0.816
Br 1.574 0.971 6.128
Br 4.349 3.496 7.936
Br 2.961 5.882 1.936
Br 6.967 4.062 5.184
```

<x>
Density functional theory data (PBE-GGA) for an optimized crystal structure of Hg4As2Br3.

Structure (extended XYZ):
```
72
Lattice="-10.273 -7.454 2.800 -0.999 -3.327 -12.525 7.899 -10.115 2.056" Properties=species:S:1:pos:R:3 pbc="T T T"
As -1.504 -9.316 -3.419
As 6.361 -11.814 -4.844
As -6.210 -7.825 -10.184
As -5.393 -12.836 3.109
As -1.869 -11.579 -4.250
As -9.734 -9.081 -2.825
As 2.837 -13.070 2.515
As 2.020 -8.060 -10.778
As -0.365 -2.260 -0.829
As -0.113 -12.039 -8.823
As -6.674 -12.635 -4.314
As 0.406 -14.858 -1.371
As -3.008 -18.636 -6.840
As -3.260 -8.856 1.154
As 3.301 -8.261 -3.355
As -3.779 -6.038 -6.297
Br -0.260 -5.509 -4.367
Br 2.253 -11.954 -4.642
Br -7.430 -11.552 -8.933
Br -1.309 -12.777 2.605
Br 0.523 -6.979 -0.703
Br -3.694 -12.469 -0.622
Br 4.144 -13.906 -7.610
Br -7.718 -8.436 -6.403
Br -3.247 -6.000 -1.715
Br -4.105 -9.935 -7.346
Br -3.402 -15.972 1.338
Br 4.007 -9.884 -7.615
Br -3.113 -15.387 -3.302
Br -5.626 -8.942 -3.027
Br 4.057 -9.343 1.265
Br -2.064 -8.119 -10.273
Br -3.896 -13.916 -6.966
Br 0.321 -8.426 -7.047
Br -7.517 -6.989 -0.059
Br 4.345 -12.459 -1.266
Br -0.126 -14.896 -5.954
Br 0.732 -10.960 -0.323
Br 0.029 -4.923 -9.007
Br -7.380 -11.011 -0.054
Hg 0.687 -6.137 -11.898
Hg 1.152 -11.127 2.849
Hg -8.507 -11.357 -3.034
Hg -0.077 -13.169 -3.255
Hg 5.242 -12.108 2.368
Hg -8.213 -7.195 -3.748
Hg 0.454 -10.095 -10.413
Hg -4.229 -12.393 -3.544
Hg -10.265 -8.615 -0.329
Hg 2.933 -7.254 -8.487
Hg 2.278 -14.327 0.316
Hg -1.691 -11.594 -6.838
Hg -4.060 -14.758 4.229
Hg -4.525 -9.768 -10.518
Hg 5.134 -9.538 -4.635
Hg -3.296 -7.726 -4.414
Hg -8.615 -8.787 -10.037
Hg 4.840 -13.701 -3.921
Hg -3.827 -10.800 2.745
Hg 0.856 -8.502 -4.124
Hg 6.892 -12.280 -7.340
Hg -6.305 -13.641 0.818
Hg -5.651 -6.568 -7.985
Hg -1.682 -9.301 -0.831
Hg -0.750 -4.647 -1.705
Hg 2.077 -11.963 -7.477
Hg -6.517 -11.008 -6.300
Hg -1.556 -14.174 0.144
Hg -2.623 -16.249 -5.963
Hg -5.450 -8.932 -0.192
Hg 3.144 -9.888 -1.369
Hg -1.817 -6.722 -7.813
```

<y>
Density functional theory data (PBE-GGA) for an optimized crystal structure of Hg4As2Br3.

Structure (extended XYZ):
```
18
Lattice="-3.872 -2.197 5.891 -2.961 -6.170 -6.382 7.229 -5.929 0.406" Properties=species:S:1:pos:R:3 pbc="T T T"
Hg 4.306 -8.285 2.156
Hg 1.833 -6.928 5.820
Hg -3.911 -6.011 -2.241
Hg -1.437 -7.368 -5.905
Hg -2.068 -5.819 3.174
Hg 0.400 -9.579 -0.397
Hg 2.463 -8.478 -3.259
Hg -0.005 -4.717 0.312
As -2.602 -4.656 0.800
As -1.957 -10.810 0.050
As 2.997 -9.640 -0.885
As 2.352 -3.486 -0.135
Br 6.079 -7.113 -0.912
Br 3.596 -5.911 2.774
Br -5.684 -7.184 0.827
Br -3.201 -8.385 -2.859
Br -0.119 -7.682 1.864
Br 0.514 -6.614 -1.949
```

Energy ordering: <x> at the bottom, the next structure 92 meV/atom above.

<w>
Density functional theory data (PBE-GGA) for an optimized crystal structure of HgAs3Br.

Structure (extended XYZ):
```
5
Lattice="-3.871 2.004 2.754 1.402 -2.861 4.053 3.103 3.792 1.603" Properties=species:S:1:pos:R:3 pbc="T T T"
As 0.701 -1.431 2.027
As 1.552 1.896 0.802
As -1.936 1.002 1.377
Hg 0.317 1.467 4.205
Br 0.000 0.000 0.000
```

<x>
Density functional theory data (PBE-GGA) for an optimized crystal structure of HgAs3Br.

Structure (extended XYZ):
```
5
Lattice="5.313 0.000 0.000 0.000 5.313 0.000 0.000 0.000 5.313" Properties=species:S:1:pos:R:3 pbc="T T T"
As 0.000 2.657 0.000
As 0.000 0.000 2.657
As 2.657 0.000 0.000
Hg 0.000 0.000 0.000
Br 2.657 2.657 2.657
```

Energy ordering: <x> at the bottom, the next structure 93 meV/atom above.

<w>
Density functional theory data (PBE-GGA) for an optimized crystal structure of LaHgAs2Br.

Structure (extended XYZ):
```
5
Lattice="5.979 0.000 0.000 0.000 5.979 0.000 0.000 0.000 5.873" Properties=species:S:1:pos:R:3 pbc="T T T"
As 0.000 2.989 0.000
As 2.989 0.000 0.000
Hg 2.989 2.989 2.936
Br 0.000 0.000 2.936
La 0.000 0.000 0.000
```

<x>
Density functional theory data (PBE-GGA) for an optimized crystal structure of LaHgAs2Br.

Structure (extended XYZ):
```
5
Lattice="5.109 0.000 0.000 0.000 5.109 0.000 0.000 0.000 5.673" Properties=species:S:1:pos:R:3 pbc="T T T"
As 0.000 2.555 0.000
As 2.555 0.000 0.000
Hg 0.000 0.000 0.000
Br 0.000 0.000 2.836
La 2.555 2.555 2.836
```

Energy ordering: <x> at the bottom, the next structure 76 meV/atom above.

<w>
Density functional theory data (PBE-GGA) for an optimized crystal structure of HgMoAsBr2.

Structure (extended XYZ):
```
5
Lattice="-1.441 4.660 2.644 -4.272 -2.652 2.345 3.063 -1.352 4.052" Properties=species:S:1:pos:R:3 pbc="T T T"
As 1.531 -0.676 2.026
Mo -1.326 0.328 4.520
Hg 0.000 0.000 0.000
Br -2.136 -1.326 1.172
Br -0.721 2.330 1.322
```

<x>
Density functional theory data (PBE-GGA) for an optimized crystal structure of HgMoAsBr2.

Structure (extended XYZ):
```
5
Lattice="5.286 0.000 0.000 0.000 5.286 0.000 0.000 0.000 4.907" Properties=species:S:1:pos:R:3 pbc="T T T"
As 0.000 0.000 2.453
Mo 0.000 0.000 0.000
Hg 2.643 2.643 2.453
Br 0.000 2.643 0.000
Br 2.643 0.000 0.000
```

Energy ordering: <x> at the bottom, the next structure 928 meV/atom above.

<w>
Density functional theory data (PBE-GGA) for an optimized crystal structure of HgAsBr2N.

Structure (extended XYZ):
```
5
Lattice="-1.625 -3.388 3.806 -3.061 -2.544 -3.572 4.125 -3.305 -1.181" Properties=species:S:1:pos:R:3 pbc="T T T"
As 2.063 -1.652 -0.591
Hg 0.000 0.000 0.000
Br -1.531 -1.272 -1.786
Br -0.812 -1.694 1.903
N -0.280 -4.619 -0.474
```

<x>
Density functional theory data (PBE-GGA) for an optimized crystal structure of HgAsBr2N.

Structure (extended XYZ):
```
5
Lattice="4.645 0.000 0.000 0.000 4.645 0.000 0.000 0.000 4.770" Properties=species:S:1:pos:R:3 pbc="T T T"
As 0.000 0.000 2.385
Hg 2.322 2.322 2.385
Br 0.000 2.322 0.000
Br 2.322 0.000 0.000
N 0.000 0.000 0.000
```

Energy ordering: <x> at the bottom, the next structure 891 meV/atom above.

<w>
Density functional theory data (PBE-GGA) for an optimized crystal structure of HgAs2BrN.

Structure (extended XYZ):
```
5
Lattice="-3.115 -1.139 4.114 2.345 -4.712 0.470 3.985 2.350 3.668" Properties=species:S:1:pos:R:3 pbc="T T T"
As 1.173 -2.356 0.235
As -1.557 -0.570 2.057
Hg 0.000 0.000 0.000
Br 1.993 1.175 1.834
N 1.608 -1.751 4.126
```

<x>
Density functional theory data (PBE-GGA) for an optimized crystal structure of HgAs2BrN.

Structure (extended XYZ):
```
5
Lattice="4.463 0.000 0.000 0.000 4.463 0.000 0.000 0.000 4.915" Properties=species:S:1:pos:R:3 pbc="T T T"
As 0.000 2.232 0.000
As 2.232 0.000 0.000
Hg 2.232 2.232 2.458
Br 0.000 0.000 2.458
N 0.000 0.000 0.000
```

Energy ordering: <x> at the bottom, the next structure 827 meV/atom above.